1.
CaMgH2: relaxed, GGA-PBE.

abc: 6.4348 6.4348 6.4348
angles: 135.76 135.76 64.35
With the nearest neighbours (Å) after each atom.
Element x y z (fractional)
Ca: 0.0000 0.0000 0.0000  4 H 2.28
Ca: 0.7500 0.2500 0.5000  4 H 2.28
Mg: 0.2500 0.7500 0.5000  4 H 2.10
Mg: 0.5000 0.5000 0.0000  4 H 2.10
H: 0.1585 0.6250 0.0335  2 Mg 2.10, 2 Ca 2.28
H: 0.3750 0.4085 0.5335  2 Mg 2.10, 2 Ca 2.28
H: 0.5915 0.1250 0.9665  2 Mg 2.10, 2 Ca 2.28
H: 0.8750 0.8415 0.4665  2 Mg 2.10, 2 Ca 2.28

The value obtained for the density of states at the Fermi level is 4.191 states/eV per cell. The total DFT energy (no corrections) is -20.918 eV per cell.

2.
Sc4Zn2GaPt: relaxed, GGA-PBE.

abc: 8.1510 8.1510 8.1510
angles: 33.60 33.60 33.60
With the nearest neighbours (Å) after each atom.
Element x y z (fractional)
Sc: 0.1233 0.1233 0.1233  1 Pt 2.84, 4 Zn 2.86-2.88, 3 Ga 2.90
Sc: 0.3733 0.3733 0.3733  3 Pt 2.87, 4 Zn 2.88-2.91, 1 Ga 2.92
Sc: 0.6267 0.6267 0.6267  3 Pt 2.87, 4 Zn 2.88-2.91, 1 Ga 2.92
Sc: 0.8767 0.8767 0.8767  1 Pt 2.84, 4 Zn 2.86-2.88, 3 Ga 2.90
Zn: 0.2481 0.2481 0.2481  8 Sc 2.86-2.91
Zn: 0.7519 0.7519 0.7519  8 Sc 2.86-2.91
Ga: 0.5000 0.5000 0.5000  8 Sc 2.90-2.92
Pt: 0.0000 0.0000 0.0000  8 Sc 2.84-2.87

The value obtained for the density of states at the Fermi level is 4.279 states/eV per cell. The total DFT energy (no corrections) is -42.432 eV per cell. The value obtained for the energy relative to the elements is -66.22 kJ/mol of atoms.